Entry 1:
Computed, not measured: crystalline LiZrZn2I at its relaxed geometry at the PBE-GGA level of DFT.

Lattice parameters (Å, degrees): 5.392 4.564 5.392 90.00 90.00 90.00
Element x y z (fractional)
I1 0.000 0.000 0.000
Zn1 0.000 0.000 0.500
Zn2 0.500 0.000 0.000
Zr1 0.500 0.500 0.500
Li1 0.000 0.500 0.000

Results
- V (Å³/atom) = 26.54
- E (eV per formula unit) = -10.119
- E_form (uncorrected) (eV per atom) = 0.89

Entry 2:
Computed, not measured: crystalline Zr4BiH at its relaxed geometry at the PBE-GGA level of DFT.

Lattice parameters (Å, degrees): 5.711 6.618 7.976 111.64 107.73 97.40
Element x y z (fractional)
Zr1 0.026 0.137 0.879
Zr2 0.783 0.651 0.566
Zr3 0.353 0.742 0.879
Zr4 0.283 0.915 0.566
Zr5 0.717 0.085 0.434
Zr6 0.647 0.258 0.121
Zr7 0.217 0.349 0.434
Zr8 0.974 0.863 0.121
Bi1 0.352 0.602 0.204
Bi2 0.648 0.398 0.796
H1 0.119 0.869 0.738
H2 0.881 0.131 0.262

Results
- V (Å³/atom) = 21.40
- E (eV per formula unit) = -42.210

Entry 3:
Computed, not measured: crystalline Rb2AcIO6 at its relaxed geometry at the PBE-GGA level of DFT.

Lattice parameters (Å, degrees): 6.206 6.206 8.776 90.00 90.00 90.00
Element x y z (fractional)
Rb1 0.500 0.750 0.250
Rb2 0.000 0.250 0.750
Rb3 0.500 0.750 0.750
Rb4 0.000 0.250 0.250
Ac1 0.000 0.750 0.500
Ac2 0.500 0.250 0.000
I1 0.500 0.250 0.500
I2 0.000 0.750 0.000
O1 0.500 0.250 0.281
O2 0.500 0.250 0.719
O3 0.000 0.750 0.219
O4 0.000 0.750 0.781
O5 0.281 0.031 0.500
O6 0.719 0.031 0.500
O7 0.281 0.468 0.500
O8 0.719 0.468 0.500
O9 0.781 0.532 0.000
O10 0.219 0.532 0.000
O11 0.219 0.969 0.000
O12 0.781 0.969 0.000

Results
- V (Å³/atom) = 16.90
- E (eV per formula unit) = -53.847
- E_form (uncorrected) (eV per atom) = -1.65

Entry 4:
Computed, not measured: crystalline Sm2Be3AlPt4 at its relaxed geometry at the PBE-GGA level of DFT.

Lattice parameters (Å, degrees): 4.083 4.083 9.952 90.00 90.00 90.00
Element x y z (fractional)
Sm1 0.500 0.000 0.242
Sm2 0.000 0.500 0.758
Be1 0.000 0.000 0.500
Be2 0.500 0.000 0.882
Be3 0.000 0.500 0.118
Al1 0.500 0.500 0.500
Pt1 0.500 0.500 0.000
Pt2 0.000 0.000 0.000
Pt3 0.500 0.000 0.641
Pt4 0.000 0.500 0.359

Results
- V (Å³/atom) = 16.59
- E (eV per formula unit) = -57.928

Entry 5:
Computed, not measured: crystalline Nd8Dy6Sc at its relaxed geometry at the PBE-GGA level of DFT.

Lattice parameters (Å, degrees): 9.875 9.875 8.212 53.04 53.04 60.00
Element x y z (fractional)
Nd1 0.350 0.228 0.487
Nd2 0.772 0.065 0.513
Nd3 0.065 0.650 0.513
Nd4 0.590 0.590 0.230
Nd5 0.410 0.410 0.770
Nd6 0.935 0.350 0.487
Nd7 0.228 0.935 0.487
Nd8 0.650 0.772 0.513
Dy1 0.380 0.931 0.973
Dy2 0.069 0.284 0.027
Dy3 0.284 0.620 0.027
Dy4 0.716 0.380 0.973
Dy5 0.931 0.716 0.973
Dy6 0.620 0.069 0.027
Sc1 0.000 0.000 0.000

Results
- V (Å³/atom) = 33.27
- E (eV per formula unit) = -69.453
- relative energy among the computed polymorphs (meV per atom) = 53.4

Entry 6:
Computed, not measured: crystalline UPaRu at its relaxed geometry at the PBE-GGA level of DFT.

Lattice parameters (Å, degrees): 4.355 7.727 7.949 90.00 90.00 90.00
Element x y z (fractional)
Ru1 0.750 0.176 0.634
Ru2 0.250 0.676 0.866
Ru3 0.250 0.824 0.366
Ru4 0.750 0.324 0.134
Pa1 0.750 0.047 0.336
Pa2 0.250 0.547 0.164
Pa3 0.250 0.953 0.664
Pa4 0.750 0.453 0.836
U1 0.750 0.597 0.510
U2 0.250 0.097 0.990
U3 0.250 0.403 0.490
U4 0.750 0.903 0.010

Results
- V (Å³/atom) = 22.29
- E (eV per formula unit) = -30.236
- relative energy among the computed polymorphs (meV per atom) = 99.3

Entry 7:
Computed, not measured: crystalline YMgCu at its relaxed geometry at the PBE-GGA level of DFT.

Lattice parameters (Å, degrees): 5.337 4.039 13.541 90.00 90.00 90.00
Element x y z (fractional)
Y1 0.864 0.750 0.607
Y2 0.136 0.250 0.393
Y3 0.136 0.250 0.107
Y4 0.864 0.750 0.893
Mg1 0.649 0.750 0.145
Mg2 0.351 0.250 0.855
Mg3 0.351 0.250 0.645
Mg4 0.649 0.750 0.355
Cu1 0.359 0.750 0.515
Cu2 0.641 0.250 0.485
Cu3 0.641 0.250 0.015
Cu4 0.359 0.750 0.985

Results
- V (Å³/atom) = 24.32
- E (eV per formula unit) = -12.223
- relative energy among the computed polymorphs (meV per atom) = 196.4

Entry 8:
Computed, not measured: crystalline LiTmZn at its relaxed geometry at the PBE-GGA level of DFT.

Lattice parameters (Å, degrees): 3.155 4.713 4.713 120.00 90.00 90.00
Element x y z (fractional)
Zn1 0.168 0.333 0.667
Tm1 0.667 0.667 0.333
Li1 0.165 0.000 0.000

Results
- V (Å³/atom) = 20.23
- E (eV per formula unit) = -7.974
- relative energy among the computed polymorphs (meV per atom) = 0.0

Entry 9:
Computed, not measured: crystalline K2NpS2Br2 at its relaxed geometry at the PBE-GGA level of DFT.

Lattice parameters (Å, degrees): 5.230 5.230 9.244 106.43 106.43 90.00
Element x y z (fractional)
K1 0.369 0.369 0.738
K2 0.631 0.631 0.262
Np1 0.000 0.000 0.000
S1 0.000 0.500 0.000
S2 0.500 0.000 0.000
Br1 0.170 0.170 0.341
Br2 0.830 0.830 0.659

Results
- V (Å³/atom) = 33.10
- E (eV per formula unit) = -36.973
- E_form (uncorrected) (eV per atom) = -1.46

Entry 10:
Computed, not measured: crystalline ScBr2F at its relaxed geometry at the PBE-GGA level of DFT.

Lattice parameters (Å, degrees): 10.015 10.015 7.368 47.18 47.18 90.00
Element x y z (fractional)
Sc1 0.000 0.000 0.000
Sc2 0.750 0.250 0.500
Br1 0.790 0.125 0.250
Br2 0.960 0.625 0.250
Br3 0.375 0.210 0.750
Br4 0.875 0.040 0.750
F1 0.500 0.500 0.000
F2 0.250 0.750 0.500

Results
- V (Å³/atom) = 25.48
- E (eV per formula unit) = -20.866
- E_form (uncorrected) (eV per atom) = -2.33
- relative energy among the computed polymorphs (meV per atom) = 131.2

Entry 11:
Computed, not measured: crystalline KNp2Cu2S6 at its relaxed geometry at the PBE-GGA level of DFT.

Lattice parameters (Å, degrees): 7.045 7.475 7.529 122.26 90.63 61.07
Element x y z (fractional)
K1 0.500 0.000 0.500
Np1 0.830 0.342 0.829
Np2 0.170 0.658 0.171
Cu1 0.211 0.733 0.803
Cu2 0.789 0.267 0.197
S1 0.408 0.779 0.040
S2 0.961 0.447 0.184
S3 0.192 0.845 0.582
S4 0.039 0.553 0.816
S5 0.808 0.155 0.418
S6 0.592 0.221 0.960

Results
- V (Å³/atom) = 25.14
- E (eV per formula unit) = -70.377
- E_form (uncorrected) (eV per atom) = -0.95

Entry 12:
Computed, not measured: crystalline FeTcNi2 at its relaxed geometry at the PBE-GGA level of DFT.

Lattice parameters (Å, degrees): 2.568 2.568 7.297 90.00 90.00 90.01
Element x y z (fractional)
Fe1 0.500 0.500 0.768
Ni1 0.000 0.000 0.999
Ni2 0.500 0.500 0.240
Tc1 0.000 0.000 0.493

Results
- V (Å³/atom) = 12.03
- E (eV per formula unit) = -30.301
- relative energy among the computed polymorphs (meV per atom) = 25.5